Entry P
DFT (PBE with a Hubbard U) results for a relaxed structure of TiMn3O.

Lattice parameters (Å, degrees): 4.8335 4.8335 4.8335 90.00 90.00 90.00
Last column: nearest neighbours and their distance in Å.
Sites, in units of the cell vectors:
Ti1 0.0000 0.0000 0.0000  6 Mn 2.42
Mn1 0.0000 0.0000 0.5000  2 Ti 2.42
Mn2 0.0000 0.5000 0.0000  2 Ti 2.42
Mn3 0.5000 0.0000 0.0000  2 Ti 2.42
O1 0.5000 0.5000 0.5000  12 Mn 3.42

## Properties
Volume   113 Å³/cell
SG   Pm-3m, No. 221



Entry Q
DFT (PBE with a Hubbard U) results for a relaxed structure of TiMn3O.

Lattice parameters (Å, degrees): 4.2914 4.2914 4.2914 90.00 90.00 90.00
Last column: nearest neighbours and their distance in Å.
Sites, in units of the cell vectors:
Ti1 0.0000 0.0000 0.0000  12 Mn 3.03
Mn1 0.0000 0.5000 0.5000  2 O 2.15
Mn2 0.5000 0.0000 0.5000  2 O 2.15
Mn3 0.5000 0.5000 0.0000  2 O 2.15
O1 0.5000 0.5000 0.5000  6 Mn 2.15

## Properties
Volume   79 Å³/cell
SG   Pm-3m, No. 221



Energy above the most stable structure, in meV per atom: entry P 1703; entry Q 0



Entry P
DFT (PBE with a Hubbard U) results for a relaxed structure of TiMn3O8.

Lattice parameters (Å, degrees): 5.8027 5.8027 9.0229 90.00 90.00 120.00
Last column: nearest neighbours and their distance in Å.
Sites, in units of the cell vectors:
Ti1 0.3333 0.6667 0.0000  6 O 1.91-2.08
Ti2 0.6667 0.3333 0.5000  6 O 1.91-2.08
Mn1 0.1684 0.3368 0.7147  6 O 1.92-1.97
Mn2 0.1684 0.8316 0.7147  6 O 1.92-1.97
Mn3 0.3368 0.1684 0.2147  6 O 1.92-1.97
Mn4 0.6632 0.8316 0.7147  6 O 1.92-1.97
Mn5 0.8316 0.1684 0.2147  6 O 1.92-1.97
Mn6 0.8316 0.6632 0.2147  6 O 1.92-1.97
O1 0.0000 0.0000 0.3177  3 Mn 1.93
O2 0.0000 0.0000 0.8177  3 Mn 1.93
O3 0.0409 0.5204 0.8364  2 Mn 1.92, 1 Ti 2.08
O4 0.1670 0.3339 0.1016  1 Ti 1.91, 2 Mn 1.97
O5 0.1670 0.8330 0.1016  1 Ti 1.91, 2 Mn 1.97
O6 0.3333 0.6667 0.6052  3 Mn 1.93
O7 0.3339 0.1670 0.6016  1 Ti 1.91, 2 Mn 1.97
O8 0.4796 0.5204 0.8364  2 Mn 1.92, 1 Ti 2.08
O9 0.4796 0.9591 0.8364  2 Mn 1.92, 1 Ti 2.08
O10 0.5204 0.0409 0.3364  2 Mn 1.92, 1 Ti 2.08
O11 0.5204 0.4796 0.3364  2 Mn 1.92, 1 Ti 2.08
O12 0.6661 0.8330 0.1016  1 Ti 1.91, 2 Mn 1.97
O13 0.6667 0.3333 0.1052  3 Mn 1.93
O14 0.8330 0.1670 0.6016  1 Ti 1.91, 2 Mn 1.97
O15 0.8330 0.6661 0.6016  1 Ti 1.91, 2 Mn 1.97
O16 0.9591 0.4796 0.3364  2 Mn 1.92, 1 Ti 2.08

## Properties
Volume   263 Å³/cell
SG   P6_3mc, No. 186



Entry Q
DFT (PBE with a Hubbard U) results for a relaxed structure of TiMn3O8.

Lattice parameters (Å, degrees): 8.2882 8.2882 8.2882 90.00 90.00 90.00
Last column: nearest neighbours and their distance in Å.
Sites, in units of the cell vectors:
Ti1 0.1250 0.1250 0.1250  6 O 1.99
Ti2 0.3750 0.8750 0.6250  6 O 1.99
Ti3 0.6250 0.3750 0.8750  6 O 1.99
Ti4 0.8750 0.6250 0.3750  6 O 1.99
Mn1 0.1225 0.8725 0.8750  6 O 1.94-1.95
Mn2 0.1250 0.6225 0.6275  6 O 1.94-1.95
Mn3 0.1275 0.3750 0.3775  6 O 1.94-1.95
Mn4 0.3725 0.6250 0.8775  6 O 1.94-1.95
Mn5 0.3750 0.3775 0.1275  6 O 1.94-1.95
Mn6 0.3775 0.1275 0.3750  6 O 1.94-1.95
Mn7 0.6225 0.6275 0.1250  6 O 1.94-1.95
Mn8 0.6250 0.8775 0.3725  6 O 1.94-1.95
Mn9 0.6275 0.1250 0.6225  6 O 1.94-1.95
Mn10 0.8725 0.8750 0.1225  6 O 1.94-1.95
Mn11 0.8750 0.1225 0.8725  6 O 1.94-1.95
Mn12 0.8775 0.3725 0.6250  6 O 1.94-1.95
O1 0.1062 0.8864 0.1091  2 Mn 1.94-1.95, 1 Ti 1.99
O2 0.1091 0.1062 0.8864  2 Mn 1.94-1.95, 1 Ti 1.99
O3 0.1113 0.3887 0.6113  3 Mn 1.95
O4 0.1136 0.6091 0.3938  2 Mn 1.94-1.95, 1 Ti 1.99
O5 0.1364 0.8562 0.6409  2 Mn 1.94-1.95, 1 Ti 1.99
O6 0.1387 0.6387 0.8613  3 Mn 1.95
O7 0.1409 0.3636 0.1438  2 Mn 1.94-1.95, 1 Ti 1.99
O8 0.1438 0.1409 0.3636  2 Mn 1.94-1.95, 1 Ti 1.99
O9 0.3562 0.8591 0.8636  2 Mn 1.94-1.95, 1 Ti 1.99
O10 0.3591 0.6364 0.6438  2 Mn 1.94-1.95, 1 Ti 1.99
O11 0.3613 0.3613 0.3613  3 Mn 1.95
O12 0.3636 0.1438 0.1409  2 Mn 1.94-1.95, 1 Ti 1.99
O13 0.3864 0.3909 0.8938  2 Mn 1.94-1.95, 1 Ti 1.99
O14 0.3887 0.6113 0.1113  3 Mn 1.95
O15 0.3909 0.8938 0.3864  2 Mn 1.94-1.95, 1 Ti 1.99
O16 0.3938 0.1136 0.6091  2 Mn 1.94-1.95, 1 Ti 1.99
O17 0.6062 0.6136 0.8909  2 Mn 1.94-1.95, 1 Ti 1.99
O18 0.6091 0.3938 0.1136  2 Mn 1.94-1.95, 1 Ti 1.99
O19 0.6113 0.1113 0.3887  3 Mn 1.95
O20 0.6136 0.8909 0.6062  2 Mn 1.94-1.95, 1 Ti 1.99
O21 0.6364 0.6438 0.3591  2 Mn 1.94-1.95, 1 Ti 1.99
O22 0.6387 0.8613 0.1387  3 Mn 1.95
O23 0.6409 0.1364 0.8562  2 Mn 1.94-1.95, 1 Ti 1.99
O24 0.6438 0.3591 0.6364  2 Mn 1.94-1.95, 1 Ti 1.99
O25 0.8562 0.6409 0.1364  2 Mn 1.94-1.95, 1 Ti 1.99
O26 0.8591 0.8636 0.3562  2 Mn 1.94-1.95, 1 Ti 1.99
O27 0.8613 0.1387 0.6387  3 Mn 1.95
O28 0.8636 0.3562 0.8591  2 Mn 1.94-1.95, 1 Ti 1.99
O29 0.8864 0.1091 0.1062  2 Mn 1.94-1.95, 1 Ti 1.99
O30 0.8887 0.8887 0.8887  3 Mn 1.95
O31 0.8909 0.6062 0.6136  2 Mn 1.94-1.95, 1 Ti 1.99
O32 0.8938 0.3864 0.3909  2 Mn 1.94-1.95, 1 Ti 1.99

## Properties
Volume   569 Å³/cell
SG   P4_332, No. 212



Energy above the most stable structure, in meV per atom: entry P 0; entry Q 48



Entry P
DFT (PBE with a Hubbard U) results for a relaxed structure of TiMn2O6.

Lattice parameters (Å, degrees): 5.1101 5.1101 10.1965 90.00 90.00 59.96
Last column: nearest neighbours and their distance in Å.
Sites, in units of the cell vectors:
Ti1 0.0000 0.0000 0.0000  6 O 1.98
Ti2 0.5000 0.5000 0.5000  6 O 1.98
Mn1 0.1667 0.1667 0.5000  6 O 1.94-1.95
Mn2 0.3333 0.3333 0.0000  6 O 1.94-1.95
Mn3 0.6667 0.6667 0.0000  6 O 1.94-1.95
Mn4 0.8333 0.8333 0.5000  6 O 1.94-1.95
O1 0.0000 0.3388 0.0945  2 Mn 1.94, 1 Ti 1.98
O2 0.0000 0.6612 0.9055  2 Mn 1.94, 1 Ti 1.98
O3 0.1612 0.5000 0.4055  2 Mn 1.94, 1 Ti 1.98
O4 0.1610 0.8390 0.5947  2 Mn 1.95, 1 Ti 1.98
O5 0.3388 0.0000 0.9055  2 Mn 1.94, 1 Ti 1.98
O6 0.3390 0.6610 0.0947  2 Mn 1.95, 1 Ti 1.98
O7 0.5000 0.1612 0.5945  2 Mn 1.94, 1 Ti 1.98
O8 0.5000 0.8388 0.4055  2 Mn 1.94, 1 Ti 1.98
O9 0.6612 0.0000 0.0945  2 Mn 1.94, 1 Ti 1.98
O10 0.6610 0.3390 0.9053  2 Mn 1.95, 1 Ti 1.98
O11 0.8390 0.1610 0.4053  2 Mn 1.95, 1 Ti 1.98
O12 0.8388 0.5000 0.5945  2 Mn 1.94, 1 Ti 1.98

## Properties
Volume   230 Å³/cell
SG   Cmce, No. 64



Entry Q
DFT (PBE with a Hubbard U) results for a relaxed structure of TiMn2O6.

Lattice parameters (Å, degrees): 6.7254 6.7254 6.0478 104.83 104.83 25.39
Last column: nearest neighbours and their distance in Å.
Sites, in units of the cell vectors:
Ti1 0.0000 0.0000 0.0000  6 O 1.97-1.99
Mn1 0.3327 0.3327 0.6650  6 O 1.94-1.95
Mn2 0.6673 0.6673 0.3350  6 O 1.94-1.95
O1 0.1566 0.1566 0.1207  2 Mn 1.95, 1 Ti 1.99
O2 0.1800 0.1800 0.5514  3 Mn 1.94-1.95
O3 0.4859 0.4859 0.7781  1 Mn 1.95, 2 Ti 1.97
O4 0.5141 0.5141 0.2219  1 Mn 1.95, 2 Ti 1.97
O5 0.8200 0.8200 0.4486  3 Mn 1.94-1.95
O6 0.8434 0.8434 0.8793  2 Mn 1.95, 1 Ti 1.99

## Properties
Volume   113 Å³/cell
SG   C2/m, No. 12



Energy above the most stable structure, in meV per atom: entry P 8; entry Q 0



Entry P
DFT (PBE with a Hubbard U) results for a relaxed structure of MnTlO2.

Lattice parameters (Å, degrees): 3.0137 4.7159 8.8039 90.00 90.00 90.00
Last column: nearest neighbours and their distance in Å.
Sites, in units of the cell vectors:
Mn1 0.2500 0.2500 0.0844  4 O 1.97-2.01
Mn2 0.7500 0.7500 0.9156  4 O 1.97-2.01
Tl1 0.2500 0.2500 0.6598  4 O 2.56-2.84
Tl2 0.7500 0.7500 0.3402  4 O 2.56-2.84
O1 0.2500 0.7500 0.0664  2 Mn 2.01
O2 0.2500 0.7500 0.7720  2 Mn 1.97
O3 0.7500 0.2500 0.2280  2 Mn 1.97
O4 0.7500 0.2500 0.9336  2 Mn 2.01

## Properties
Volume   125 Å³/cell
SG   Pmmn, No. 59



Entry Q
DFT (PBE with a Hubbard U) results for a relaxed structure of MnTlO2.

Lattice parameters (Å, degrees): 5.9752 5.9752 7.7839 90.00 90.00 90.00
Last column: nearest neighbours and their distance in Å.
Sites, in units of the cell vectors:
Mn1 0.0000 0.0000 0.0000  4 O 1.93
Mn2 0.0000 0.5000 0.2500  4 O 1.93
Mn3 0.5000 0.0000 0.7500  4 O 1.93
Mn4 0.5000 0.5000 0.5000  4 O 1.93
Tl1 0.0000 0.0000 0.5000  4 O 2.87
Tl2 0.0000 0.5000 0.7500  4 O 2.87
Tl3 0.5000 0.0000 0.2500  4 O 2.87
Tl4 0.5000 0.5000 0.0000  4 O 2.87
O1 0.1231 0.7500 0.1250  2 Mn 1.93
O2 0.2500 0.1231 0.8750  2 Mn 1.93
O3 0.2500 0.3769 0.3750  2 Mn 1.93
O4 0.3769 0.7500 0.6250  2 Mn 1.93
O5 0.6231 0.2500 0.6250  2 Mn 1.93
O6 0.7500 0.6231 0.3750  2 Mn 1.93
O7 0.7500 0.8769 0.8750  2 Mn 1.93
O8 0.8769 0.2500 0.1250  2 Mn 1.93

## Properties
Volume   278 Å³/cell
SG   I-42d, No. 122



Entry R
DFT (PBE with a Hubbard U) results for a relaxed structure of MnTlO2.

Lattice parameters (Å, degrees): 3.5021 3.5021 18.5678 90.00 90.00 120.00
Last column: nearest neighbours and their distance in Å.
Sites, in units of the cell vectors:
Mn1 0.0000 0.0000 0.0000  2 O 1.92
Mn2 0.3333 0.6667 0.6667  2 O 1.92
Mn3 0.6667 0.3333 0.3333  2 O 1.92
Tl1 0.0000 0.0000 0.5000  6 O 2.34
Tl2 0.3333 0.6667 0.1667  6 O 2.34
Tl3 0.6667 0.3333 0.8333  6 O 2.34
O1 0.0000 0.0000 0.1034  1 Mn 1.92
O2 0.0000 0.0000 0.8966  1 Mn 1.92
O3 0.3333 0.6667 0.5632  1 Mn 1.92
O4 0.3333 0.6667 0.7701  1 Mn 1.92
O5 0.6667 0.3333 0.2299  1 Mn 1.92
O6 0.6667 0.3333 0.4368  1 Mn 1.92

## Properties
Volume   197 Å³/cell
SG   R-3m, No. 166



Entry S
DFT (PBE with a Hubbard U) results for a relaxed structure of MnTlO2.

Lattice parameters (Å, degrees): 3.1690 3.1690 19.7910 90.00 90.00 120.00
Last column: nearest neighbours and their distance in Å.
Sites, in units of the cell vectors:
Mn1 0.0000 0.0000 0.0000  6 O 2.07-2.11
Mn2 0.3333 0.6667 0.6667  6 O 2.07-2.11
Mn3 0.6667 0.3333 0.3333  6 O 2.07-2.11
Tl1 0.0000 0.0000 0.8281  6 O 2.82-3.05
Tl2 0.3333 0.6667 0.4947  6 O 2.82-3.05
Tl3 0.6667 0.3333 0.1614  6 O 2.82-3.05
O1 0.0000 0.0000 0.3861  3 Mn 2.11
O2 0.0000 0.0000 0.6182  3 Mn 2.07
O3 0.3333 0.6667 0.0528  3 Mn 2.11
O4 0.3333 0.6667 0.2849  3 Mn 2.07
O5 0.6667 0.3333 0.7194  3 Mn 2.11
O6 0.6667 0.3333 0.9516  3 Mn 2.07

## Properties
Volume   172 Å³/cell
SG   R3m, No. 160



Energy above the most stable structure, in meV per atom: entry P 0; entry Q 134; entry R 493; entry S 112